1.
Pr2AlPb, optimized geometry, DFT PBE-GGA; ΔH_f (0 K) = -0.0435 eV/atom; DOS at the Fermi energy = 2.754 states/eV/cell; crystal system = trigonal; DFT total energy = -17.2 eV/cell; SG = R-3m, No. 166
1.0
1.8271 1.0549 11.2212
-1.8271 1.0549 11.2212
0.0000 -2.1098 11.2212
Pr Al Pb
2 1 1
direct
0.0983 0.0983 0.0983
0.9017 0.9017 0.9017
0.5000 0.5000 0.5000
0.0000 0.0000 0.0000

2.
Cd2SbBr, optimized geometry, DFT PBE-GGA; DOS at the Fermi energy = 1.952 states/eV/cell; crystal system = orthorhombic; energy above the most stable polymorph in this dataset = 37.9 kJ/mol of atoms; DFT total energy = -7.4 eV/cell; ΔE_f (raw) = 0.067 eV/atom; SG = Pmmm, No. 47
1.0
3.2991 0.0000 0.0000
0.0000 5.3049 0.0000
0.0000 0.0000 6.0006
Cd Sb Br
2 1 1
direct
0.0000 0.0000 0.0000
0.5000 0.5000 0.0000
0.0000 0.5000 0.5000
0.5000 0.0000 0.5000

3.
Be2PIr, optimized geometry, DFT PBE-GGA; ΔH_f (0 K) = -0.1885 eV/atom; DOS at the Fermi energy = 0.516 states/eV/cell; crystal system = monoclinic; DFT total energy = -22.5 eV/cell; SG = C2, No. 5
1.0
2.2946 -2.9568 0.0000
2.2946 2.9568 0.0000
-2.2840 0.0000 3.3375
Be P Ir
2 1 1
direct
0.0000 0.0000 0.0000
0.6850 0.3150 0.5000
0.5067 0.4933 0.0000
0.2733 0.7267 0.5000

4.
Na2Ag3Au, optimized geometry, DFT PBE-GGA; ΔH_f (0 K) = -0.1743 eV/atom; DOS at the Fermi energy = 1.044 states/eV/cell; crystal system = monoclinic; DFT total energy = -15.5 eV/cell; SG = C2/m, No. 12
1.0
4.8500 -2.8378 0.0000
4.8500 2.8378 0.0000
-3.2997 0.0000 4.6365
Na Ag Au
2 3 1
direct
0.1268 0.1268 0.3741
0.8732 0.8732 0.6259
0.0000 0.5000 0.0000
0.5000 0.0000 0.0000
0.5000 0.5000 0.5000
0.5000 0.5000 0.0000

5.
LiB4C4, optimized geometry, DFT PBE-GGA; ΔH_f (0 K) = 0.2503 eV/atom; DOS at the Fermi energy = 5.464 states/eV/cell; crystal system = orthorhombic; energy above the most stable polymorph in this dataset = 15.6 kJ/mol of atoms; DFT total energy = -126.5 eV/cell; SG = Pbam, No. 55
1.0
7.2390 0.0000 0.0000
0.0000 9.3519 0.0000
0.0000 0.0000 2.6896
Li B C
2 8 8
direct
0.0000 0.0000 0.0000
0.5000 0.5000 0.0000
0.2379 0.1759 0.0000
0.2455 0.4250 0.5000
0.2545 0.9250 0.5000
0.2621 0.6759 0.0000
0.7379 0.3241 0.0000
0.7455 0.0750 0.5000
0.7545 0.5750 0.5000
0.7621 0.8241 0.0000
0.2346 0.0912 0.5000
0.2439 0.3421 0.0000
0.2561 0.8421 0.0000
0.2654 0.5912 0.5000
0.7346 0.4088 0.5000
0.7439 0.1579 0.0000
0.7561 0.6579 0.0000
0.7654 0.9088 0.5000

6.
Sc2FeAs, optimized geometry, DFT PBE-GGA; ΔH_f (0 K) = -0.1055 eV/atom; DOS at the Fermi energy = 10.726 states/eV/cell; crystal system = tetragonal; DFT total energy = -52.4 eV/cell; SG = I-42d, No. 122
1.0
-3.5564 3.5564 2.9543
3.5564 -3.5564 2.9543
3.5564 3.5564 -2.9543
Sc Fe As
4 2 2
direct
0.1059 0.6250 0.9809
0.3750 0.3559 0.4809
0.6441 0.1250 0.0191
0.8750 0.8941 0.5191
0.0000 0.0000 0.0000
0.7500 0.2500 0.5000
0.2500 0.7500 0.5000
0.5000 0.5000 0.0000

7.
SrCaZn, optimized geometry, DFT PBE-GGA; ΔH_f (0 K) = -0.1398 eV/atom; DOS at the Fermi energy = 6.182 states/eV/cell; crystal system = monoclinic; energy above the most stable polymorph in this dataset = 0.0 kJ/mol of atoms; DFT total energy = -10.8 eV/cell; SG = C2/m, No. 12
1.0
7.6581 -2.2605 0.0000
7.6581 2.2605 0.0000
-1.2733 0.0000 6.2949
Sr Ca Zn
2 2 2
direct
0.1470 0.1470 0.3264
0.8530 0.8530 0.6736
0.4148 0.4148 0.2046
0.5852 0.5852 0.7954
0.2315 0.2315 0.8846
0.7685 0.7685 0.1154

8.
Mg5Co, optimized geometry, DFT PBE-GGA; ΔH_f (0 K) = 0.1274 eV/atom; DOS at the Fermi energy = 3.996 states/eV/cell; crystal system = hexagonal; energy above the most stable polymorph in this dataset = 6.9 kJ/mol of atoms; DFT total energy = -14.3 eV/cell; SG = P-62m, No. 189
1.0
5.2734 0.0000 0.0000
-2.6367 4.5669 0.0000
0.0000 0.0000 4.7936
Mg Co
5 1
direct
0.0000 0.6881 0.0000
0.3119 0.3119 0.0000
0.3333 0.6667 0.5000
0.6667 0.3333 0.5000
0.6881 0.0000 0.0000
0.0000 0.0000 0.5000

> What is the formula in the second record?

Cd2SbBr

> What is the formula in the fifth record?

LiB4C4